Entry 1:
Computed, not measured: crystalline Sc2CoSe at its relaxed geometry at the PBE level of DFT.

Cell: 3.6459 3.6459 6.9144 Å, 105.17 105.17 59.85°
Closest atoms and distances in Å follow each position.
Fractional coordinates of all 4 atoms:
Sc  0.2424  0.2424  0.2261  3 Co 2.57-2.58, 3 Se 2.77
Sc  0.7576  0.7576  0.7739  3 Co 2.57-2.58, 3 Se 2.77
Co  0.5000  0.5000  0.0000  6 Sc 2.57-2.58
Se  0.0000  0.0000  0.5000  6 Sc 2.77

Calculated values
Total DFT energy (no corrections): -26.31 eV/cell
Space group: C2/m
ΔE_f (raw): -0.7652 eV/atom
Calculated density: 4.99 g cm⁻³
Size of the total moment: 0.0 μB/f.u.

***

Entry 2:
Computed, not measured: crystalline TcSCl2 at its relaxed geometry at the PBE level of DFT.

Cell: 10.3506 10.3506 10.3506 Å, 17.12 17.12 17.12°
Closest atoms and distances in Å follow each position.
Fractional coordinates of all 4 atoms:
Tc  0.0000  0.0000  0.0000  6 Cl 2.44
S  0.5000  0.5000  0.5000  6 S 3.08, 2 Cl 3.42
Cl  0.3881  0.3881  0.3881  3 Tc 2.44
Cl  0.6119  0.6119  0.6119  3 Tc 2.44

Calculated values
Offset from the most stable computed form: 0.698 eV per atom
Total DFT energy (no corrections): -16.87 eV/cell
Space group: R-3m
ΔE_f (raw): 0.3286 eV/atom
Calculated density: 3.98 g cm⁻³
Size of the total moment: 0.0 μB/f.u.

***

Entry 3:
Computed, not measured: crystalline Be2HgPb at its relaxed geometry at the PBE level of DFT.

Cell: 4.7897 4.7897 3.2736 Å, 90.00 90.00 99.37°
Closest atoms and distances in Å follow each position.
Fractional coordinates of all 4 atoms:
Be  0.0000  0.5000  0.0000  4 Hg 2.90, 4 Pb 2.90, 2 Be 3.10
Be  0.5000  0.0000  0.0000  4 Hg 2.90, 4 Pb 2.90, 2 Be 3.10
Hg  0.0000  0.0000  0.5000  8 Be 2.90, 2 Pb 3.10
Pb  0.5000  0.5000  0.5000  8 Be 2.90, 2 Hg 3.10

Calculated values
Offset from the most stable computed form: 0.403 eV per atom
Total DFT energy (no corrections): -8.36 eV/cell
Space group: Cmmm
ΔH_f (0 K): 775 meV per atom
Calculated density: 9.54 g cm⁻³
Size of the total moment: 0.0 μB/f.u.

***

Entry 4:
Computed, not measured: crystalline TcPb2 at its relaxed geometry at the PBE level of DFT.

Cell: 4.7310 4.7310 4.7310 Å, 60.00 60.00 60.00°
Closest atoms and distances in Å follow each position.
Fractional coordinates of all 3 atoms:
Tc  0.0000  0.0000  0.0000  8 Pb 2.90
Pb  0.2500  0.2500  0.2500  4 Tc 2.90
Pb  0.7500  0.7500  0.7500  4 Tc 2.90

Calculated values
Offset from the most stable computed form: 0.291 eV per atom
Total DFT energy (no corrections): -15.79 eV/cell
Space group: Fm-3m
ΔH_f (0 K): 665 meV per atom
Calculated density: 11.36 g cm⁻³
Size of the total moment: 0.0 μB/f.u.